1.
YCd: optimized geometry, PBE-GGA.

The calculation puts the total DFT energy (no corrections) at -59.26 eV/cell. As for the crystal system: tetragonal.

The space group is P4/m (No. 83) and the conventional cell measures 11.661, 11.661 and 3.467 Å, with angles of 90.00, 90.00 and 90.00 degrees. The distinct sites, in fractional coordinates, are Y at (0.106, 0.631, 0.000), Y at (0.160, 0.367, 0.500), Cd at (0.081, 0.155, 0.000) and Cd at (0.337, 0.569, 0.500).


2.
CaTcH3: optimized geometry, PBE-GGA.

As for the crystal system: cubic. Its offset from the most stable computed form is 1.251 eV/atom.

The space group is Pm-3m (No. 221) and the conventional cell measures 3.786, 3.786 and 3.786 Å, with angles of 90.00, 90.00 and 90.00 degrees. The distinct sites, in fractional coordinates, are Ca at (0.000, 0.000, 0.000), Tc at (0.500, 0.500, 0.500) and H at (0.000, 0.000, 0.500).


3.
Tb2YHf: optimized geometry, PBE-GGA.

As for the crystal system: tetragonal. Its offset from the most stable computed form is 0.094 eV/atom.

The space group is P4/mmm (No. 123) and the conventional cell measures 3.988, 3.988 and 7.321 Å, with angles of 90.00, 90.00 and 90.00 degrees. The distinct sites, in fractional coordinates, are Tb at (0.000, 0.000, 0.221), Y at (0.500, 0.500, 0.500) and Hf at (0.500, 0.500, 0.000).


no.,M_tot (μB per formula unit)
1,0.27
2,0.00
3,0.00